(1)
Cs2CuAgI6 after structural relaxation, computed with GGA-PBE.

Output
Space group ... I4/mmm
Formation energy from raw total energies ... -0.70 eV per atom

Cell: 8.204 8.204 8.542 Å, 61.30 61.30 90.00°
Sites, in units of the cell vectors:
I 0.724 0.724 0.000
I 0.276 0.724 0.000
I 0.276 0.276 0.000
Cs 0.750 0.250 0.500
Ag 0.000 0.000 0.000
I 0.724 0.276 0.000
Cu 0.500 0.500 0.000
Cs 0.250 0.750 0.500
I 0.784 0.784 0.431
I 0.216 0.216 0.569



(2)
TiGeSb2Te after structural relaxation, computed with GGA-PBE.

Output
Space group ... P4/mmm
E above lowest polymorph ... 0.0 meV/atom
Formation energy from raw total energies ... 0.33 eV per atom

Cell: 5.298 5.298 5.237 Å, 90.00 90.00 90.00°
Sites, in units of the cell vectors:
Te 0.000 0.000 0.500
Sb 0.500 0.000 0.000
Ge 0.500 0.500 0.500
Ti 0.000 0.000 0.000
Sb 0.000 0.500 0.000



(3)
LaMnP3 after structural relaxation, computed with GGA-PBE.

Output
Space group ... Pm-3m
E above lowest polymorph ... 97.9 meV/atom
Energy relative to the elements ... -220 kJ/mol of formula units

Cell: 4.570 4.570 4.570 Å, 90.00 90.00 90.00°
Sites, in units of the cell vectors:
La 0.500 0.500 0.500
Mn 0.000 0.000 0.000
P 0.500 0.000 0.000
P 0.000 0.500 0.000
P 0.000 0.000 0.500



(4)
ScSbOs2W after structural relaxation, computed with GGA-PBE.

Output
Space group ... P4/mmm
Formation energy from raw total energies ... 1.33 eV per atom

Cell: 4.758 4.991 4.758 Å, 90.00 90.00 90.00°
Sites, in units of the cell vectors:
Sc 0.000 0.500 0.000
Os 0.500 0.000 0.000
W 0.000 0.000 0.000
Sb 0.500 0.500 0.500
Os 0.000 0.000 0.500



(5)
HfZr4Sb2 after structural relaxation, computed with GGA-PBE.

Output
Space group ... P2_1/m
Formation energy from raw total energies ... -0.35 eV per atom

Cell: 7.635 5.846 8.258 Å, 90.00 119.09 90.00°
Sites, in units of the cell vectors:
Sb 0.669 0.750 0.604
Zr 0.971 0.750 0.495
Hf 0.235 0.750 0.330
Zr 0.551 0.000 0.224
Zr 0.449 0.500 0.776
Zr 0.449 0.000 0.776
Hf 0.765 0.250 0.670
Sb 0.331 0.250 0.396
Sb 0.195 0.250 0.916
Zr 0.894 0.250 0.084
Sb 0.805 0.750 0.084
Zr 0.106 0.750 0.916
Zr 0.551 0.500 0.224
Zr 0.029 0.250 0.505



(6)
Tc3Ir12Ru4 after structural relaxation, computed with GGA-PBE.

Output
Space group ... Im-3
Energy relative to the elements ... 1532 kJ/mol of formula units

Cell: 8.037 8.037 8.037 Å, 109.47 109.47 109.47°
Sites, in units of the cell vectors:
Tc 0.500 0.500 0.000
Ir 0.266 0.638 0.904
Ir 0.362 0.096 0.734
Ir 0.734 0.638 0.373
Ir 0.638 0.373 0.734
Ru 0.000 0.500 0.000
Ru 0.500 0.000 0.000
Tc 0.000 0.500 0.500
Ir 0.373 0.734 0.638
Tc 0.500 0.000 0.500
Ir 0.627 0.266 0.362
Ir 0.266 0.362 0.627
Ru 0.000 0.000 0.500
Ir 0.096 0.734 0.362
Ir 0.904 0.266 0.638
Ir 0.638 0.904 0.266
Ru 0.500 0.500 0.500
Ir 0.362 0.627 0.266
Ir 0.734 0.362 0.096



(7)
BeI2F after structural relaxation, computed with GGA-PBE.

Output
Space group ... Fm-3m
E above lowest polymorph ... 471.5 meV/atom
Formation energy from raw total energies ... 0.05 eV per atom

Cell: 4.815 4.815 4.815 Å, 60.00 60.00 60.00°
Sites, in units of the cell vectors:
F 0.500 0.500 0.500
I 0.750 0.750 0.750
Be 0.000 0.000 0.000
I 0.250 0.250 0.250



(8)
Ta2IrPt after structural relaxation, computed with GGA-PBE.

Output
Space group ... P4mm
Energy relative to the elements ... -197 kJ/mol of formula units

Cell: 3.373 3.373 5.916 Å, 90.00 90.00 90.00°
Sites, in units of the cell vectors:
Ta 0.000 0.000 0.976
Pt 0.500 0.500 0.764
Ta 0.500 0.500 0.277
Ir 0.000 0.000 0.483



(9)
CsGaPt after structural relaxation, computed with GGA-PBE.

Output
Space group ... C2/m
E above lowest polymorph ... 55.4 meV/atom
Energy relative to the elements ... -107 kJ/mol of formula units

Cell: 4.613 8.759 11.867 Å, 107.72 90.00 105.27°
Sites, in units of the cell vectors:
Ga 0.711 0.422 0.615
Cs 0.852 0.704 0.957
Cs 0.052 0.104 0.354
Pt 0.643 0.286 0.777
Cs 0.948 0.896 0.646
Ga 0.289 0.578 0.385
Ga 0.817 0.634 0.257
Pt 0.751 0.503 0.422
Pt 0.249 0.497 0.578
Cs 0.148 0.296 0.043
Pt 0.357 0.714 0.223
Ga 0.183 0.366 0.743



(10)
NiSe2SN after structural relaxation, computed with GGA-PBE.

Output
Space group ... P4/mmm
E above lowest polymorph ... 288.5 meV/atom
Formation energy from raw total energies ... 1.08 eV per atom

Cell: 4.984 4.984 3.221 Å, 90.00 90.00 90.00°
Sites, in units of the cell vectors:
N 0.000 0.000 0.500
Se 0.000 0.500 0.000
Se 0.500 0.000 0.000
S 0.000 0.000 0.000
Ni 0.500 0.500 0.500



(11)
Al2Cd5Ag5 after structural relaxation, computed with GGA-PBE.

Output
Space group ... C2/m
Energy relative to the elements ... 23 kJ/mol of formula units

Cell: 4.983 7.141 7.848 Å, 63.37 71.49 69.58°
Sites, in units of the cell vectors:
Ag 0.077 0.257 0.589
Cd 0.500 0.500 0.500
Cd 0.323 0.000 0.353
Al 0.159 0.498 0.184
Ag 0.923 0.743 0.411
Cd 0.588 0.752 0.071
Ag 0.754 0.271 0.222
Cd 0.412 0.248 0.929
Ag 0.246 0.729 0.778
Al 0.841 0.502 0.816
Ag 0.000 0.000 0.000
Cd 0.677 0.000 0.647



(12)
Li2Pu4Pd5 after structural relaxation, computed with GGA-PBE.

Output
Space group ... Ibam
Energy relative to the elements ... -384 kJ/mol of formula units

Cell: 5.403 8.872 10.626 Å, 114.68 104.73 90.00°
Sites, in units of the cell vectors:
Pd 0.250 0.000 0.000
Li 0.055 0.305 0.611
Pu 0.934 0.199 0.868
Pd 0.928 0.516 0.855
Pu 0.353 0.971 0.705
Pd 0.072 0.484 0.145
Pd 0.572 0.661 0.145
Pd 0.218 0.018 0.436
Pd 0.782 0.982 0.564
Pu 0.147 0.266 0.295
Pu 0.647 0.029 0.295
Pd 0.282 0.582 0.564
Li 0.445 0.695 0.389
Pu 0.853 0.734 0.705
Pd 0.718 0.418 0.436
Li 0.555 0.305 0.611
Pd 0.428 0.339 0.855
Pu 0.434 0.669 0.868
Pu 0.066 0.801 0.132
Pu 0.566 0.331 0.132
Li 0.945 0.695 0.389
Pd 0.750 0.000 0.000



Total magnetic moment? In order: 0.0; 0.0; 2.6; 0.0; 0.0; 2.7; 0.0; 0.0; 0.0; 0.0; 0.0; 22.5 μB/f.u..
Raw total energy? In order: -2.494; -4.445; -6.522; -7.842; -7.833; -8.350; -2.120; -10.161; -3.676; -3.965; -2.173; -8.282 eV per atom.